InGa2BiS6 | PBE-GGA | relaxed

Its uncorrected formation energy is -0.517 eV per atom.

The space group is C2/c (No. 15) and the conventional cell measures 12.383, 11.873 and 6.616 Å, with angles of 90.00, 101.37 and 90.00 degrees. The inequivalent atoms are In at (0.000, 0.214, 0.250), Ga at (0.188, 0.086, 0.794), Bi at (0.000, 0.399, 0.750), S at (0.121, 0.401, 0.156), S at (0.129, 0.243, 0.602) and S at (0.142, 0.079, 0.117).

In2GaBiS6 | PBE-GGA | relaxed

Its uncorrected formation energy is -0.536 eV per atom.

The space group is P2_1/m (No. 11) and the conventional cell measures 11.390, 3.845 and 12.501 Å, with angles of 90.00, 117.07 and 90.00 degrees. The inequivalent atoms are In at (0.049, 0.250, 0.143), In at (0.260, 0.250, 0.724), Ga at (0.162, 0.750, 0.405), Bi at (0.406, 0.250, 0.107), S at (0.043, 0.250, 0.768), S at (0.142, 0.750, 0.578), S at (0.155, 0.750, 0.069), S at (0.256, 0.250, 0.369), S at (0.360, 0.750, 0.897) and S at (0.490, 0.250, 0.726).

In2GaBiS6 | PBE-GGA | relaxed

Its uncorrected formation energy is -0.481 eV per atom.

The space group is C2/c (No. 15) and the conventional cell measures 12.321, 13.287 and 7.013 Å, with angles of 90.00, 112.23 and 90.00 degrees. The inequivalent atoms are In at (0.112, 0.088, 0.145), Ga at (0.000, 0.324, 0.750), Bi at (0.000, 0.407, 0.250), S at (0.122, 0.084, 0.511), S at (0.125, 0.269, 0.066) and S at (0.129, 0.434, 0.678).

Sc2InGaBi | PBE-GGA | relaxed

For the energy, the calculation gives -21.67 eV per cell.

The space group is P4/mmm (No. 123) and the conventional cell measures 5.134, 5.134 and 5.462 Å, with angles of 90.00, 90.00 and 90.00 degrees. The inequivalent atoms are Sc at (0.000, 0.500, 0.000), In at (0.000, 0.000, 0.500), Ga at (0.500, 0.500, 0.000) and Bi at (0.500, 0.500, 0.500).

SrInGa2Bi | PBE-GGA | relaxed

For the energy, the calculation gives -13.04 eV per cell.

The space group is P4/mmm (No. 123) and the conventional cell measures 5.543, 5.543 and 6.014 Å, with angles of 90.00, 90.00 and 90.00 degrees. The inequivalent atoms are Sr at (0.000, 0.000, 0.000), In at (0.500, 0.500, 0.000), Ga at (0.000, 0.500, 0.500) and Bi at (0.500, 0.500, 0.500).

TlInGaBi | PBE-GGA | relaxed

For the energy, the calculation gives -11.88 eV per cell.

The space group is P4mm (No. 99) and the conventional cell measures 3.400, 3.400 and 9.682 Å, with angles of 90.00, 90.00 and 90.00 degrees. The inequivalent atoms are Tl at (0.000, 0.000, 0.000), In at (0.500, 0.500, 0.271), Ga at (0.000, 0.000, 0.487) and Bi at (0.500, 0.500, 0.716).

TlInGaBi | PBE-GGA | relaxed

For the energy, the calculation gives -46.81 eV per cell.

The space group is F-43m (No. 216) and the conventional cell measures 7.707, 7.707 and 7.707 Å, with angles of 90.00, 90.00 and 90.00 degrees. The inequivalent atoms are Tl at (0.000, 0.000, 0.000), In at (0.250, 0.250, 0.750), Ga at (0.250, 0.250, 0.250) and Bi at (0.000, 0.000, 0.500).

ZnInGaBi | PBE-GGA | relaxed

For the energy, the calculation gives -42.14 eV per cell.

The space group is F-43m (No. 216) and the conventional cell measures 7.274, 7.274 and 7.274 Å, with angles of 90.00, 90.00 and 90.00 degrees. The inequivalent atoms are Zn at (0.000, 0.000, 0.000), In at (0.250, 0.250, 0.750), Ga at (0.000, 0.000, 0.500) and Bi at (0.250, 0.250, 0.250).